DFT (PBE) results for a relaxed Ba2AlAs crystal.

a b c (Å): 9.1117 9.1117 7.4663
angles (deg): 52.40 52.40 90.00
Fractional coordinates of all 8 atoms:
As: 0.0000 0.0000 0.0000
As: 0.7500 0.2500 0.5000
Ba: 0.6605 0.1250 0.2500
Ba: 0.0895 0.6250 0.2500
Ba: 0.3750 0.3395 0.7500
Ba: 0.8750 0.9105 0.7500
Al: 0.5000 0.5000 0.0000
Al: 0.2500 0.7500 0.5000

Properties
Distance to the lowest polymorph of the same formula: 423 meV/atom
Calculated density: 3.99 g cm⁻³
Size of the total moment: 0.0 μB/f.u.
Calculated formation energy: -211 meV/atom



DFT (PBE) results for a relaxed SiP2WCl crystal.

a b c (Å): 4.5509 4.5509 4.3775
angles (deg): 90.00 90.00 90.00
Fractional coordinates of all 5 atoms:
P: 0.0000 0.5000 0.0000
P: 0.5000 0.0000 0.0000
Si: 0.0000 0.0000 0.0000
W: 0.5000 0.5000 0.5000
Cl: 0.0000 0.0000 0.5000

Properties
Distance to the lowest polymorph of the same formula: 434 meV/atom
Calculated density: 5.67 g cm⁻³
Size of the total moment: 2.7 μB/f.u.



DFT (PBE) results for a relaxed Hf2TaInB crystal.

a b c (Å): 4.6002 4.6002 4.4041
angles (deg): 90.00 90.00 90.00
Fractional coordinates of all 5 atoms:
B: 0.0000 0.0000 0.0000
In: 0.5000 0.5000 0.5000
Hf: 0.0000 0.5000 0.0000
Hf: 0.5000 0.0000 0.0000
Ta: 0.0000 0.0000 0.5000

Properties
Calculated density: 11.82 g cm⁻³
Size of the total moment: 0.0 μB/f.u.
Calculated formation energy: -248 meV/atom



DFT (PBE) results for a relaxed CsHoI4 crystal.

a b c (Å): 6.0895 13.7972 10.9905
angles (deg): 113.33 90.00 102.75
Fractional coordinates of all 12 atoms:
Cs: 0.2551 0.5102 0.2548
Cs: 0.7449 0.4898 0.7452
Ho: 0.0910 0.1820 0.5911
Ho: 0.9090 0.8180 0.4089
I: 0.0003 0.0006 0.3113
I: 0.1761 0.3522 0.8684
I: 0.8235 0.6471 0.5158
I: 0.5869 0.1738 0.5879
I: 0.4131 0.8262 0.4121
I: 0.1765 0.3529 0.4842
I: 0.8239 0.6478 0.1316
I: 0.9997 0.9994 0.6887

Properties
Distance to the lowest polymorph of the same formula: 24 meV/atom
Calculated density: 3.25 g cm⁻³
Size of the total moment: 0.0 μB/f.u.



DFT (PBE) results for a relaxed Y2MgGa3Ir4 crystal.

a b c (Å): 4.1572 4.1572 10.7475
angles (deg): 90.00 90.00 90.00
Fractional coordinates of all 10 atoms:
Y: 0.5000 0.0000 0.2348
Y: 0.0000 0.5000 0.7652
Mg: 0.5000 0.5000 0.5000
Ga: 0.0000 0.0000 0.5000
Ga: 0.5000 0.0000 0.8734
Ga: 0.0000 0.5000 0.1266
Ir: 0.5000 0.5000 0.0000
Ir: 0.0000 0.0000 0.0000
Ir: 0.5000 0.0000 0.6455
Ir: 0.0000 0.5000 0.3545

Properties
Calculated density: 10.55 g cm⁻³
Size of the total moment: 0.0 μB/f.u.
Calculated formation energy: -667 meV/atom



DFT (PBE) results for a relaxed Rb4Pm crystal.

a b c (Å): 7.6440 7.6440 7.6440
angles (deg): 90.00 90.00 90.00
Fractional coordinates of all 5 atoms:
Rb: 0.0000 0.0000 0.0000
Rb: 0.5000 0.0000 0.5000
Rb: 0.0000 0.5000 0.5000
Rb: 0.5000 0.5000 0.0000
Pm: 0.5000 0.5000 0.5000

Properties
Calculated density: 1.81 g cm⁻³
Size of the total moment: 3.6 μB/f.u.
Calculated formation energy: 675 meV/atom



DFT (PBE) results for a relaxed TiMnPb crystal.

a b c (Å): 4.1258 4.1258 12.8983
angles (deg): 90.00 90.00 90.00
Fractional coordinates of all 12 atoms:
Pb: 0.0000 0.0000 0.8521
Pb: 0.0000 0.0000 0.1479
Pb: 0.5000 0.5000 0.3521
Pb: 0.5000 0.5000 0.6479
Mn: 0.0000 0.5000 0.0000
Mn: 0.5000 0.0000 0.0000
Mn: 0.5000 0.0000 0.5000
Mn: 0.0000 0.5000 0.5000
Ti: 0.0000 0.0000 0.6132
Ti: 0.0000 0.0000 0.3868
Ti: 0.5000 0.5000 0.1132
Ti: 0.5000 0.5000 0.8868

Properties
Calculated density: 9.38 g cm⁻³
Size of the total moment: 0.2 μB/f.u.
Calculated formation energy: 37 meV/atom



DFT (PBE) results for a relaxed SrLi2Hg3 crystal.

a b c (Å): 4.7994 4.7994 14.5724
angles (deg): 90.00 90.00 120.00
Fractional coordinates of all 12 atoms:
Sr: 0.0000 0.0000 0.2500
Sr: 0.0000 0.0000 0.7500
Li: 0.6667 0.3333 0.4307
Li: 0.3333 0.6667 0.5693
Li: 0.3333 0.6667 0.9307
Li: 0.6667 0.3333 0.0693
Hg: 0.0000 0.0000 0.5000
Hg: 0.0000 0.0000 0.0000
Hg: 0.6667 0.3333 0.6202
Hg: 0.3333 0.6667 0.1202
Hg: 0.6667 0.3333 0.8798
Hg: 0.3333 0.6667 0.3798

Properties
Calculated density: 8.03 g cm⁻³
Size of the total moment: 0.0 μB/f.u.
Calculated formation energy: -398 meV/atom